[1]
{"formula": "Tc2SnF", "functional": "GGA-PBE", "state": "relaxed", "raw_formation_energy_mev_per_atom": 276, "e_above_lowest_polymorph_ev_per_atom": 0.000, "lattice_angstrom": [[7.076, 0.000, 0.000], [0.000, 7.076, 0.000], [0.000, 0.000, 4.990]], "species": ["Tc", "Tc", "Tc", "Tc", "Tc", "Tc", "Tc", "Tc", "Sn", "Sn", "Sn", "Sn", "F", "F", "F", "F"], "fractional_positions": [[0.187, 0.750, 0.125], [0.250, 0.187, 0.875], [0.250, 0.313, 0.375], [0.313, 0.750, 0.625], [0.687, 0.250, 0.625], [0.750, 0.687, 0.375], [0.750, 0.813, 0.875], [0.813, 0.250, 0.125], [0.000, 0.000, 0.500], [0.000, 0.500, 0.750], [0.500, 0.000, 0.250], [0.500, 0.500, 0.000], [0.000, 0.000, 0.000], [0.000, 0.500, 0.250], [0.500, 0.000, 0.750], [0.500, 0.500, 0.500]]}

***

[2]
{"formula": "Mg6GaPb3", "functional": "GGA-PBE", "state": "relaxed", "formation_energy_ev_per_atom": -0.05, "lattice_angstrom": [[8.959, 0.000, 0.000], [0.000, 5.020, 0.000], [-3.461, 0.000, 10.785]], "species": ["Mg", "Mg", "Mg", "Mg", "Mg", "Mg", "Mg", "Mg", "Mg", "Mg", "Mg", "Mg", "Ga", "Ga", "Pb", "Pb", "Pb", "Pb", "Pb", "Pb"], "fractional_positions": [[0.038, 0.250, 0.417], [0.114, 0.750, 0.126], [0.125, 0.250, 0.716], [0.239, 0.250, 0.995], [0.338, 0.750, 0.776], [0.431, 0.250, 0.601], [0.569, 0.750, 0.399], [0.662, 0.250, 0.224], [0.761, 0.750, 0.005], [0.875, 0.750, 0.284], [0.886, 0.250, 0.874], [0.962, 0.750, 0.583], [0.060, 0.750, 0.858], [0.940, 0.250, 0.142], [0.245, 0.750, 0.476], [0.328, 0.250, 0.286], [0.459, 0.750, 0.106], [0.541, 0.250, 0.894], [0.672, 0.750, 0.714], [0.755, 0.250, 0.524]]}

***

Number 1: total magnetic moment 0.0 μB/cell, calculated volume 62.5 Å³/f.u.. Number 2: total magnetic moment 0.0 μB/cell, calculated volume 242.5 Å³/f.u..